[1]
Material: Sr3Cd3Rh2
Method: DFT, GGA-PBE
State: optimized geometry

extended XYZ file:
```
16
Lattice="2.244 -5.684 0.000 2.244 5.684 0.000 0.000 0.000 17.188" Properties=species:S:1:pos:R:3 pbc="T T T"
Sr 2.244 4.971 10.415
Sr 2.244 4.971 15.366
Sr 2.244 1.727 12.891
Sr 2.244 -1.727 4.297
Sr 2.244 -4.971 1.822
Sr 2.244 -4.971 6.772
Cd 2.244 1.801 9.193
Cd 2.244 1.801 16.589
Cd 2.244 1.620 4.297
Cd 2.244 -1.620 12.891
Cd 2.244 -1.801 0.599
Cd 2.244 -1.801 7.995
Rh 2.244 3.050 1.985
Rh 2.244 3.050 6.609
Rh 2.244 -3.050 10.579
Rh 2.244 -3.050 15.203
```

Results
- total moment (μB/cell) = 0.0
- total DFT energy (no corrections) (eV per cell) = -50.14
- space group = Cmcm (63)

=====

[2]
Material: Sr6Cd2Rh
Method: DFT, GGA-PBE
State: optimized geometry

extended XYZ file:
```
18
Lattice="7.419 0.000 0.000 0.000 8.860 0.000 -7.326 0.000 11.175" Properties=species:S:1:pos:R:3 pbc="T T T"
Sr -2.557 1.743 4.970
Sr -6.220 2.687 10.558
Sr -1.194 5.894 4.971
Sr -4.857 7.396 10.559
Sr 0.902 0.235 2.773
Sr -2.761 4.194 8.360
Sr 2.854 4.665 2.815
Sr -0.809 8.624 8.402
Sr 4.950 1.464 0.616
Sr 1.287 2.966 6.204
Sr 6.313 6.173 0.617
Sr 2.651 7.117 6.205
Cd -4.100 1.010 8.287
Cd -0.437 3.420 2.699
Cd 0.530 5.439 8.476
Cd 4.193 7.850 2.888
Rh 0.000 0.000 0.000
Rh -3.663 4.430 5.588
```

Results
- total moment (μB/cell) = 0.0
- total DFT energy (no corrections) (eV per cell) = -42.74
- space group = P2_1/c (14)

=====

[3]
Material: Sr2CdRh3
Method: DFT, GGA-PBE
State: optimized geometry

extended XYZ file:
```
6
Lattice="2.833 1.636 4.520 -2.833 1.636 4.520 0.000 -3.271 4.520" Properties=species:S:1:pos:R:3 pbc="T T T"
Sr 0.000 0.000 1.655
Sr 0.000 0.000 11.903
Cd 0.000 0.000 6.779
Rh -1.416 -0.818 4.520
Rh -1.416 0.818 9.039
Rh 0.000 1.636 4.520
```

Results
- total moment (μB/cell) = 0.0
- total DFT energy (no corrections) (eV per cell) = -28.02
- space group = R-3m (166)

=====

[4]
Material: SrCd2Rh
Method: DFT, GGA-PBE
State: optimized geometry

extended XYZ file:
```
32
Lattice="16.452 0.000 0.000 0.000 8.041 0.000 0.000 0.000 5.848" Properties=species:S:1:pos:R:3 pbc="T T T"
Sr 1.741 2.010 1.432
Sr 2.276 6.031 0.242
Sr 5.950 2.010 3.166
Sr 6.485 6.031 4.356
Sr 9.967 2.010 1.492
Sr 10.502 6.031 2.683
Sr 14.176 2.010 5.607
Sr 14.712 6.031 4.416
Cd 0.681 0.477 4.292
Cd 0.681 3.543 4.292
Cd 3.479 4.457 3.188
Cd 3.479 7.604 3.188
Cd 4.747 0.437 0.264
Cd 4.747 3.584 0.264
Cd 7.545 4.498 1.368
Cd 7.545 7.564 1.368
Cd 8.907 0.477 4.480
Cd 8.907 3.543 4.480
Cd 11.705 4.457 5.584
Cd 11.705 7.604 5.584
Cd 12.973 0.437 2.660
Cd 12.973 3.584 2.660
Cd 15.771 4.498 1.556
Cd 15.771 7.564 1.556
Rh 1.133 6.031 3.079
Rh 3.069 2.010 4.523
Rh 5.157 6.031 1.599
Rh 7.093 2.010 0.154
Rh 9.359 6.031 5.694
Rh 11.295 2.010 4.249
Rh 13.383 6.031 1.325
Rh 15.319 2.010 2.770
```

Results
- total moment (μB/cell) = 0.0
- total DFT energy (no corrections) (eV per cell) = -97.70
- space group = Pnma (62)

=====

[5]
Material: Sr11Cd9Rh4
Method: DFT, GGA-PBE
State: optimized geometry

extended XYZ file:
```
24
Lattice="7.487 -11.191 0.000 7.487 11.191 0.000 0.000 0.000 4.330" Properties=species:S:1:pos:R:3 pbc="T T T"
Sr 0.000 0.000 0.000
Sr 3.759 3.716 0.000
Sr 7.487 7.321 0.000
Sr 4.673 0.000 0.000
Sr 7.487 2.768 0.000
Sr 3.759 -3.716 0.000
Sr 11.215 3.716 0.000
Sr 7.487 -2.768 0.000
Sr 10.301 0.000 0.000
Sr 7.487 -7.321 0.000
Sr 11.215 -3.716 0.000
Cd 2.379 1.563 2.165
Cd 5.946 5.031 2.165
Cd 2.379 -1.563 2.165
Cd 9.029 5.031 2.165
Cd 7.487 0.000 2.165
Cd 5.946 -5.031 2.165
Cd 12.595 1.563 2.165
Cd 9.029 -5.031 2.165
Cd 12.595 -1.563 2.165
Rh 5.262 2.203 2.165
Rh 5.262 -2.203 2.165
Rh 9.712 2.203 2.165
Rh 9.712 -2.203 2.165
```

Results
- total moment (μB/cell) = 0.0
- total DFT energy (no corrections) (eV per cell) = -63.41
- space group = Cmmm (65)

=====

[6]
Material: Sr4CdRh
Method: DFT, GGA-PBE
State: optimized geometry

extended XYZ file:
```
6
Lattice="0.000 4.768 4.768 4.768 0.000 4.768 4.768 4.768 0.000" Properties=species:S:1:pos:R:3 pbc="T T T"
Sr 3.584 3.584 3.584
Sr 5.951 5.951 3.584
Sr 5.951 3.584 5.951
Sr 3.584 5.951 5.951
Cd 0.000 0.000 0.000
Rh 7.151 7.151 7.151
```

Results
- total moment (μB/cell) = 0.0
- total DFT energy (no corrections) (eV per cell) = -10.72
- space group = F-43m (216)

=====

[7]
Material: Sr2Cd3Rh2
Method: DFT, GGA-PBE
State: optimized geometry

extended XYZ file:
```
7
Lattice="5.406 -2.261 0.000 5.406 2.261 0.000 -3.217 0.000 6.929" Properties=species:S:1:pos:R:3 pbc="T T T"
Sr 0.621 0.000 1.941
Sr 6.975 0.000 4.988
Cd 3.681 0.000 0.428
Cd 3.798 0.000 3.465
Cd 3.915 0.000 6.501
Rh -0.798 0.000 4.825
Rh 8.393 0.000 2.104
```

Results
- total moment (μB/cell) = 0.0
- total DFT energy (no corrections) (eV per cell) = -23.12
- space group = C2/m (12)

=====

[8]
Material: Sr4CdRh
Method: DFT, GGA-PBE
State: optimized geometry

extended XYZ file:
```
12
Lattice="4.943 -7.277 0.000 4.943 7.277 0.000 -2.928 0.000 6.141" Properties=species:S:1:pos:R:3 pbc="T T T"
Sr 1.130 4.848 5.718
Sr 0.814 1.016 4.122
Sr 4.364 4.848 3.494
Sr 2.278 -1.016 1.051
Sr 4.680 1.016 5.090
Sr 2.594 -4.848 2.647
Sr 6.144 -1.016 2.020
Sr 5.828 -4.848 0.423
Cd 4.211 1.893 1.535
Cd 2.747 -1.893 4.606
Rh 4.211 -7.270 1.535
Rh 2.747 7.270 4.606
```

Results
- total moment (μB/cell) = 0.0
- total DFT energy (no corrections) (eV per cell) = -32.85
- space group = C2/c (15)

=====

[9]
Material: Sr4Cd3Rh2
Method: DFT, GGA-PBE
State: optimized geometry

extended XYZ file:
```
9
Lattice="8.391 -2.210 0.000 8.391 2.210 0.000 -2.715 0.000 7.248" Properties=species:S:1:pos:R:3 pbc="T T T"
Sr 0.247 0.000 2.546
Sr 2.333 0.000 5.957
Sr 11.733 0.000 1.291
Sr 13.819 0.000 4.702
Cd 5.998 0.000 2.013
Cd 8.391 0.000 0.000
Cd 8.069 0.000 5.234
Rh -0.936 0.000 6.891
Rh 15.003 0.000 0.357
```

Results
- total moment (μB/cell) = 0.0
- total DFT energy (no corrections) (eV per cell) = -26.92
- space group = C2/m (12)

=====

[10]
Material: SrCd6Rh4
Method: DFT, GGA-PBE
State: optimized geometry

extended XYZ file:
```
11
Lattice="-3.487 3.487 5.083 3.487 -3.487 5.083 3.487 3.487 -5.083" Properties=species:S:1:pos:R:3 pbc="T T T"
Sr 0.000 0.000 0.000
Cd 3.487 0.000 0.000
Cd 1.368 -1.368 2.968
Cd -1.368 1.368 2.968
Cd 0.000 3.487 0.000
Cd 2.120 2.120 2.115
Cd 1.368 1.368 7.198
Rh 2.419 2.419 -0.767
Rh 1.068 -1.068 5.850
Rh 1.068 1.068 4.316
Rh -1.068 1.068 5.850
```

Results
- total moment (μB/cell) = 0.0
- total DFT energy (no corrections) (eV per cell) = -37.31
- space group = I-42m (121)

=====

[11]
Material: Sr2Cd5Rh5
Method: DFT, GGA-PBE
State: optimized geometry

extended XYZ file:
```
12
Lattice="4.488 0.000 0.000 0.000 5.710 0.000 0.000 0.000 9.845" Properties=species:S:1:pos:R:3 pbc="T T T"
Sr 0.000 0.000 0.000
Sr 0.000 2.855 4.922
Cd 0.000 0.000 3.144
Cd 0.000 0.000 6.701
Cd 0.000 2.855 1.651
Cd 0.000 2.855 8.194
Cd 2.244 0.000 4.922
Rh 2.244 1.386 2.333
Rh 2.244 1.386 7.512
Rh 2.244 2.855 0.000
Rh 2.244 4.324 2.333
Rh 2.244 4.324 7.512
```

Results
- total moment (μB/cell) = 0.0
- total DFT energy (no corrections) (eV per cell) = -46.99
- space group = Pmmm (47)

=====

[12]
Material: SrCdRh3
Method: DFT, GGA-PBE
State: optimized geometry

extended XYZ file:
```
5
Lattice="4.974 0.000 0.000 0.000 4.974 0.000 0.000 0.000 4.974" Properties=species:S:1:pos:R:3 pbc="T T T"
Sr 0.000 0.000 0.000
Cd 2.487 2.487 2.487
Rh 0.000 2.487 2.487
Rh 2.487 0.000 2.487
Rh 2.487 2.487 0.000
```

Results
- total moment (μB/cell) = 1.9
- total DFT energy (no corrections) (eV per cell) = -20.71
- space group = Pm-3m (221)